[1]
## MgTcIrBr2 (PBE)

Data for crystalline MgTcIrBr2 at its relaxed geometry.

Structure (CIF):
```
data_MgTcIrBr2
_symmetry_space_group_name_H-M 'P 4/m m m'
_symmetry_Int_Tables_number 123
_symmetry_space_group_name_Hall '-P 4 2'
_cell_length_a 4.783
_cell_length_b 4.783
_cell_length_c 5.548
_cell_angle_alpha 90.00
_cell_angle_beta 90.00
_cell_angle_gamma 90.00
loop_
_atom_site_label
_atom_site_type_symbol
_atom_site_fract_x
_atom_site_fract_y
_atom_site_fract_z
Mg1 Mg 0.000 0.000 0.000
Tc1 Tc 0.000 0.000 0.500
Ir1 Ir 0.500 0.500 0.000
Br1 Br 0.000 0.500 0.500
```

Properties
E, eV per cell: -17.8

=====

[2]
## Mn2IrBr (PBE)

Data for crystalline Mn2IrBr at its relaxed geometry.

Structure (CIF):
```
data_Mn2IrBr
_symmetry_space_group_name_H-M 'R 3 m'
_symmetry_Int_Tables_number 160
_symmetry_space_group_name_Hall 'R 3 -2"'
_cell_length_a 2.9507
_cell_length_b 2.9507
_cell_length_c 26.0189
_cell_angle_alpha 90.00
_cell_angle_beta 90.00
_cell_angle_gamma 120.00
loop_
_atom_site_label
_atom_site_type_symbol
_atom_site_fract_x
_atom_site_fract_y
_atom_site_fract_z
Mn1 Mn 0.0000 0.0000 0.0000
Mn2 Mn 0.0000 0.0000 0.2559
Ir1 Ir 0.0000 0.0000 0.5180
Br1 Br 0.0000 0.0000 0.7380
```

Properties
Energy above the lowest structure with this stoichiometry, kJ per mole of atoms: 34.22

=====

[3]
## MnIr2Br (PBE)

Data for crystalline MnIr2Br at its relaxed geometry.

Structure (CIF):
```
data_MnIr2Br
_symmetry_space_group_name_H-M 'P m m m'
_symmetry_Int_Tables_number 47
_cell_length_a 2.888
_cell_length_b 4.583
_cell_length_c 4.835
_cell_angle_alpha 90.00
_cell_angle_beta 90.00
_cell_angle_gamma 90.00
loop_
_symmetry_equiv_pos_as_xyz
'x,y,z'
'-x,-y,-z'
'-x,-y,z'
'x,y,-z'
'x,-y,-z'
'-x,y,z'
'-x,y,-z'
'x,-y,z'
loop_
_atom_site_label
_atom_site_type_symbol
_atom_site_fract_x
_atom_site_fract_y
_atom_site_fract_z
Mn1 Mn 0.000 0.000 0.000
Ir1 Ir 0.000 0.500 0.500
Ir2 Ir 0.500 0.500 0.000
Br1 Br 0.500 0.000 0.500
```

Properties
Energy above the lowest structure with this stoichiometry, kJ per mole of atoms: 27.72

=====

[4]
## Mn2IrBr (PBE)

Data for crystalline Mn2IrBr at its relaxed geometry.

Structure (CIF):
```
data_Mn2IrBr
_symmetry_space_group_name_H-M 'P 4 m m'
_symmetry_Int_Tables_number 99
_cell_length_a 3.110
_cell_length_b 3.110
_cell_length_c 7.043
_cell_angle_alpha 90.00
_cell_angle_beta 90.00
_cell_angle_gamma 90.00
loop_
_symmetry_equiv_pos_as_xyz
'x,y,z'
'-y,x,z'
'-x,-y,z'
'y,-x,z'
'-x,y,z'
'y,x,z'
'x,-y,z'
'-y,-x,z'
loop_
_atom_site_label
_atom_site_type_symbol
_atom_site_fract_x
_atom_site_fract_y
_atom_site_fract_z
Mn1 Mn 0.000 0.000 0.000
Mn2 Mn 0.500 0.500 0.225
Ir1 Ir 0.500 0.500 0.831
Br1 Br 0.000 0.000 0.458
```

Properties
Energy above the lowest structure with this stoichiometry, kJ per mole of atoms: 28.80